Record 1
Entry from Alexandria via LeMat-Bulk: crystalline HgSb2TeC at its relaxed geometry (PBE).

Lattice parameters (Å, degrees): 5.567 5.567 5.679 90.00 90.00 90.00
Element x y z (fractional)
1 Hg 0.000 0.000 0.000
2 C 0.500 0.500 0.500
3 Sb 0.000 0.500 0.000
4 Sb 0.500 0.000 0.000
5 Te 0.000 0.000 0.500

Computed properties:
For the excess energy over the best structure of this formula in the dataset, the calculation gives 1157 meV/atom. The uncorrected formation energy comes out at 2.101 eV/atom. The symmetry is P4/mmm (123). The value obtained for the total energy is -2.0810 eV/atom. Its calculated density is 5.5 g cm⁻³. The value obtained for the density of states at the Fermi level is 7.1 states/eV/f.u.

=====

Record 2
Entry from Alexandria via LeMat-Bulk: crystalline HgSb2TeC at its relaxed geometry (PBE).

Lattice parameters (Å, degrees): 4.887 4.887 4.869 90.00 90.00 90.00
Element x y z (fractional)
1 C 0.000 0.000 0.000
2 Hg 0.500 0.500 0.500
3 Sb 0.000 0.500 0.000
4 Sb 0.500 0.000 0.000
5 Te 0.000 0.000 0.500

Computed properties:
For the excess energy over the best structure of this formula in the dataset, the calculation gives 0 meV/atom. The uncorrected formation energy comes out at 0.945 eV/atom. The symmetry is P4/mmm (123). The value obtained for the total energy is -3.2377 eV/atom. Its calculated density is 8.3 g cm⁻³. The value obtained for the density of states at the Fermi level is 2.9 states/eV/f.u.

=====

Record 3
Entry from Alexandria via LeMat-Bulk: crystalline Tm4HgSbC at its relaxed geometry (PBE).

Lattice parameters (Å, degrees): 4.712 4.712 8.419 106.25 106.25 90.00
Element x y z (fractional)
1 Tm 0.839 0.839 0.678
2 Tm 0.162 0.162 0.324
3 Tm 0.497 0.997 0.994
4 Hg 0.361 0.361 0.721
5 Sb 0.638 0.638 0.277
6 C 0.006 0.006 0.012
7 Tm 0.997 0.497 0.994

Computed properties:
The uncorrected formation energy comes out at -0.581 eV/atom. The symmetry is I4mm (107). The value obtained for the total energy is -5.0855 eV/atom. Its calculated density is 9.8 g cm⁻³. The value obtained for the density of states at the Fermi level is 6.6 states/eV/f.u.

=====

Record 4
Entry from Alexandria via LeMat-Bulk: crystalline V2HgSbC at its relaxed geometry (PBE).

Lattice parameters (Å, degrees): 4.155 4.837 4.155 90.00 90.00 90.00
Element x y z (fractional)
1 C 0.000 0.000 0.000
2 Sb 0.000 0.500 0.000
3 V 0.000 0.000 0.500
4 Hg 0.500 0.500 0.500
5 V 0.500 0.000 0.000

Computed properties:
The uncorrected formation energy comes out at 0.513 eV/atom. The symmetry is P4/mmm (123). The value obtained for the total energy is -5.8642 eV/atom. Its calculated density is 8.7 g cm⁻³. The value obtained for the density of states at the Fermi level is 3.4 states/eV/f.u.

=====

Record 5
Entry from Alexandria via LeMat-Bulk: crystalline Y4HgSbC at its relaxed geometry (PBE).

Lattice parameters (Å, degrees): 6.828 6.808 8.489 90.00 113.71 90.00
Element x y z (fractional)
1 Hg 0.114 0.250 0.228
2 Y 0.410 0.750 0.820
3 Sb 0.611 0.750 0.221
4 Y 0.500 0.500 0.500
5 Sb 0.389 0.250 0.779
6 Hg 0.886 0.750 0.772
7 Y 0.000 0.000 0.500
8 C 0.750 0.250 0.500
9 Y 0.500 0.000 0.500
10 Y 0.590 0.250 0.180
11 Y 0.084 0.750 0.168
12 C 0.250 0.750 0.500
13 Y 0.916 0.250 0.832
14 Y 0.000 0.500 0.500

Computed properties:
The uncorrected formation energy comes out at -0.627 eV/atom. The symmetry is Cmcm (63). The value obtained for the total energy is -6.2710 eV/atom. Its calculated density is 6.3 g cm⁻³. The value obtained for the density of states at the Fermi level is 4.6 states/eV/f.u.

=====

Record 6
Entry from Alexandria via LeMat-Bulk: crystalline Sc3HgC at its relaxed geometry (PBE).

Lattice parameters (Å, degrees): 5.332 6.454 5.636 90.00 86.84 90.00
Element x y z (fractional)
1 C 0.477 0.750 0.029
2 Sc 0.761 0.250 0.655
3 Hg 0.771 0.750 0.654
4 C 0.523 0.250 0.971
5 Hg 0.229 0.250 0.346
6 Sc 0.239 0.750 0.345
7 Sc 0.273 0.500 0.843
8 Sc 0.727 0.500 0.157
9 Sc 0.727 0.000 0.157
10 Sc 0.273 0.000 0.843

Computed properties:
For the excess energy over the best structure of this formula in the dataset, the calculation gives 249 meV/atom. The symmetry is P2_1/m (11). The value obtained for the total energy is -6.0103 eV/atom. The calculation puts the energy of formation at -0.31 eV per atom. Its calculated density is 6.0 g cm⁻³. The value obtained for the density of states at the Fermi level is 3.2 states/eV/f.u.

=====

Record 7
Entry from Alexandria via LeMat-Bulk: crystalline Sc3HgC at its relaxed geometry (PBE).

Lattice parameters (Å, degrees): 6.187 6.187 7.196 64.54 64.54 90.00
Element x y z (fractional)
1 Hg 0.882 0.382 0.236
2 Sc 0.116 0.369 0.769
3 Sc 0.138 0.884 0.231
4 Sc 0.367 0.367 0.267
5 Hg 0.618 0.118 0.764
6 Sc 0.116 0.862 0.769
7 Sc 0.631 0.884 0.231
8 Sc 0.633 0.633 0.733
9 C 0.250 0.750 0.500
10 C 0.000 0.000 0.000

Computed properties:
For the excess energy over the best structure of this formula in the dataset, the calculation gives 617 meV/atom. The symmetry is I-4m2 (119). The value obtained for the total energy is -5.6422 eV/atom. The calculation puts the energy of formation at 0.06 eV per atom. Its calculated density is 5.3 g cm⁻³. The value obtained for the density of states at the Fermi level is 3.0 states/eV/f.u.

=====

Record 8
Entry from Alexandria via LeMat-Bulk: crystalline Sc3HgC at its relaxed geometry (PBE).

Lattice parameters (Å, degrees): 7.805 7.805 7.805 44.03 44.03 44.03
Element x y z (fractional)
1 Sc 0.449 0.085 0.787
2 C 0.838 0.838 0.838
3 C 0.162 0.162 0.162
4 Sc 0.551 0.915 0.213
5 Sc 0.915 0.213 0.551
6 Sc 0.787 0.449 0.085
7 Sc 0.213 0.551 0.915
8 Hg 0.660 0.660 0.660
9 Sc 0.085 0.787 0.449
10 Hg 0.340 0.340 0.340

Computed properties:
For the excess energy over the best structure of this formula in the dataset, the calculation gives 208 meV/atom. The symmetry is R-3 (148). The value obtained for the total energy is -6.0519 eV/atom. The calculation puts the energy of formation at -0.35 eV per atom. Its calculated density is 5.5 g cm⁻³. The value obtained for the density of states at the Fermi level is 7.4 states/eV/f.u.

=====

- Among the records above, which one has the lowest calculated density?
  number 7